1.
HgSbP2 after structural relaxation. Source: Alexandria, functional PBE.

Calculated values
N(E_F): 0.445 states/eV per atom

a b c (Å): 3.4823 4.8231 4.8231
angles (deg): 90.00 90.00 90.00
Sites, in units of the cell vectors:
P (0.0000, 0.5000, 0.5000)
P (0.0000, 0.0000, 0.0000)
Sb (0.5000, 0.5000, 0.0000)
Hg (0.5000, 0.0000, 0.5000)


2.
HgSb2P after structural relaxation. Source: Alexandria, functional PBE.

Calculated values
N(E_F): 0.708 states/eV per atom

a b c (Å): 3.8690 4.5308 5.4881
angles (deg): 90.00 90.00 90.00
Sites, in units of the cell vectors:
Sb (0.5000, 0.0000, 0.5000)
Sb (0.0000, 0.0000, 0.0000)
P (0.0000, 0.5000, 0.5000)
Hg (0.5000, 0.5000, 0.0000)


3.
HgSb2P after structural relaxation. Source: Alexandria, functional PBE.

Calculated values
N(E_F): 0.304 states/eV per atom

a b c (Å): 5.6841 3.1044 6.2788
angles (deg): 71.70 90.00 90.00
Sites, in units of the cell vectors:
Sb (0.5000, 0.2331, 0.4352)
Sb (0.0000, 0.9378, 0.8623)
Hg (0.0000, 0.3782, 0.3425)
P (0.5000, 0.9510, 0.8600)


| no. | spin magnetization (μB/f.u.) | ΔE_f (raw) (eV/f.u.) | E above lowest polymorph (eV per atom) |
| --- | --- | --- | --- |
| 1 | 0.00 | 2.5 | 0.4755 |
| 2 | 0.00 | 1.8 | 0.2813 |
| 3 | 0.00 | 0.9 | 0.0573 |